# 1
An optimized crystal structure of LiSnTe2AuS, computed with PBE-GGA.

Cell: 6.874 6.874 11.061 Å, 90.00 90.00 144.90°
Atoms (fractional coordinates):
S 0.088 0.912 0.250
Li 0.293 0.707 0.750
Te 0.331 0.669 0.430
Te 0.331 0.669 0.070
Sn 0.000 0.000 0.000
Au 0.517 0.483 0.750
Li 0.707 0.293 0.250
Au 0.483 0.517 0.250
Sn 0.000 0.000 0.500
S 0.912 0.088 0.750
Te 0.669 0.331 0.570
Te 0.669 0.331 0.930

Properties
- Final energy: -42.09 eV for the cell shown

=====

# 2
An optimized crystal structure of LiTaAuS3, computed with PBE-GGA.

Cell: 7.032 7.032 9.637 Å, 90.00 90.00 28.43°
Last column: magnetic moment on the atom in μB.
Atoms (fractional coordinates):
Au 0.673 0.673 0.250  0.02
Au 0.327 0.327 0.750  0.02
S 0.033 0.033 0.750  -0.01
S 0.634 0.634 0.014  0.01
Ta 0.000 0.000 0.500  0.17
Li 0.333 0.333 0.250  0.00
S 0.967 0.967 0.250  -0.01
Li 0.667 0.667 0.750  0.00
S 0.634 0.634 0.486  0.01
S 0.366 0.366 0.514  0.01
S 0.366 0.366 0.986  0.01
Ta 0.000 0.000 0.000  0.17

Properties
- Final energy: -66.91 eV for the cell shown

=====

# 3
An optimized crystal structure of LiTaTe2AuS, computed with PBE-GGA.

Cell: 7.801 7.801 9.723 Å, 90.00 90.00 151.61°
Last column: magnetic moment on the atom in μB.
Atoms (fractional coordinates):
Te 0.644 0.356 0.509  0.00
Te 0.356 0.644 0.009  0.00
Te 0.356 0.644 0.491  0.00
Au 0.556 0.444 0.750  0.01
Ta 0.000 0.000 0.000  0.34
Te 0.644 0.356 0.991  0.00
Ta 0.000 0.000 0.500  0.34
S 0.055 0.945 0.250  0.00
Au 0.444 0.556 0.250  0.01
Li 0.807 0.193 0.250  0.00
S 0.945 0.055 0.750  0.00
Li 0.193 0.807 0.750  0.00

Properties
- Final energy: -58.56 eV for the cell shown

=====

# 4
An optimized crystal structure of LiTbAu3S4, computed with PBE-GGA.

Cell: 5.975 5.975 5.975 Å, 90.00 90.00 90.00°
Atoms (fractional coordinates):
S 0.246 0.246 0.246
S 0.754 0.754 0.246
Au 0.000 0.500 0.500
S 0.246 0.754 0.754
Tb 0.500 0.500 0.500
Au 0.500 0.500 0.000
S 0.754 0.246 0.754
Li 0.000 0.000 0.000
Au 0.500 0.000 0.500

Properties
- ΔE to the lowest computed polymorph: 0.0451 eV per atom

=====

# 5
An optimized crystal structure of LiTbAu3S4, computed with PBE-GGA.

Cell: 6.054 8.461 9.275 Å, 90.00 99.79 90.00°
Atoms (fractional coordinates):
S 0.924 0.985 0.288
S 0.482 0.750 0.599
Au 0.292 0.419 0.525
Au 0.679 0.750 0.176
S 0.518 0.250 0.401
Au 0.708 0.919 0.475
Li 0.240 0.750 0.800
Tb 0.785 0.250 0.679
Li 0.760 0.250 0.200
Au 0.292 0.081 0.525
S 0.690 0.250 0.942
S 0.076 0.015 0.712
S 0.924 0.515 0.288
S 0.076 0.485 0.712
Tb 0.215 0.750 0.321
Au 0.321 0.250 0.824
Au 0.708 0.581 0.475
S 0.310 0.750 0.058

Properties
- ΔE to the lowest computed polymorph: 0.0000 eV per atom

=====

# 6
An optimized crystal structure of LiTcTeAuS2, computed with PBE-GGA.

Cell: 7.491 7.491 10.402 Å, 90.00 90.00 154.91°
Last column: magnetic moment on the atom in μB.
Atoms (fractional coordinates):
S 0.122 0.878 0.526  0.03
S 0.878 0.122 0.474  0.03
Tc 0.500 0.500 0.500  0.69
Te 0.436 0.564 0.750  0.01
Li 0.777 0.223 0.750  0.00
Li 0.223 0.777 0.250  0.00
S 0.878 0.122 0.026  0.03
Te 0.564 0.436 0.250  0.01
Au 0.136 0.864 0.750  0.03
Tc 0.500 0.500 0.000  0.69
Au 0.864 0.136 0.250  0.03
S 0.122 0.878 0.974  0.03

Properties
- Final energy: -57.31 eV for the cell shown

=====

# 7
An optimized crystal structure of LiTcTe2AuS, computed with PBE-GGA.

Cell: 8.458 8.458 9.114 Å, 90.00 90.00 153.60°
Last column: magnetic moment on the atom in μB.
Atoms (fractional coordinates):
Te 0.878 0.122 0.470  0.04
Au 0.156 0.844 0.250  0.01
S 0.506 0.494 0.250  -0.02
Te 0.122 0.878 0.530  0.04
Tc 0.500 0.500 0.000  0.59
Te 0.878 0.122 0.030  0.04
Li 0.763 0.237 0.250  0.00
Tc 0.500 0.500 0.500  0.59
Li 0.237 0.763 0.750  0.00
S 0.494 0.506 0.750  -0.02
Te 0.122 0.878 0.970  0.04
Au 0.844 0.156 0.750  0.01

Properties
- Final energy: -54.32 eV for the cell shown

=====

# 8
An optimized crystal structure of LiZrTe2AuS, computed with PBE-GGA.

Cell: 8.028 8.028 10.084 Å, 90.00 90.00 151.13°
Atoms (fractional coordinates):
Te 0.142 0.858 0.019
S 0.451 0.549 0.250
Te 0.858 0.142 0.519
Te 0.142 0.858 0.481
Zr 0.500 0.500 0.000
Li 0.326 0.674 0.750
S 0.549 0.451 0.750
Li 0.674 0.326 0.250
Au 0.948 0.052 0.750
Zr 0.500 0.500 0.500
Te 0.858 0.142 0.981
Au 0.052 0.948 0.250

Properties
- Final energy: -57.13 eV for the cell shown

=====

# 9
An optimized crystal structure of LiThAuS3, computed with PBE-GGA.

Cell: 6.541 6.541 10.724 Å, 90.00 90.00 143.81°
Atoms (fractional coordinates):
Li 0.746 0.254 0.750
S 0.354 0.646 0.943
Th 0.000 0.000 0.000
Au 0.544 0.456 0.250
S 0.906 0.094 0.250
S 0.646 0.354 0.057
S 0.354 0.646 0.557
S 0.646 0.354 0.443
Th 0.000 0.000 0.500
Au 0.456 0.544 0.750
S 0.094 0.906 0.750
Li 0.254 0.746 0.250

Properties
- Final energy: -64.54 eV for the cell shown

=====

# 10
An optimized crystal structure of LiZrAuS3, computed with PBE-GGA.

Cell: 6.830 6.830 9.945 Å, 90.00 90.00 31.92°
Atoms (fractional coordinates):
S 0.637 0.637 0.517
Li 0.685 0.685 0.250
Au 0.639 0.639 0.750
Zr 0.000 0.000 0.500
S 0.943 0.943 0.750
S 0.363 0.363 0.017
S 0.057 0.057 0.250
S 0.637 0.637 0.983
Zr 0.000 0.000 0.000
Li 0.315 0.315 0.750
Au 0.361 0.361 0.250
S 0.363 0.363 0.483

Properties
- ΔE to the lowest computed polymorph: 0.0655 eV per atom